Compound: LiSm4Al12
Source: Alexandria
Functional: GGA-PBE
Structure: relaxed

Properties
Energy of formation = -0.40 eV/atom

Cell lengths 7.631, 7.631, 7.631 Å; angles 109.47, 109.47, 109.47 degrees
Fractional positions:
Li1 0.000 0.000 0.000
Sm1 0.000 0.000 0.500
Sm2 0.000 0.500 0.000
Sm3 0.500 0.000 0.000
Sm4 0.500 0.500 0.500
Al1 0.000 0.301 0.301
Al2 0.000 0.699 0.699
Al3 0.250 0.500 0.750
Al4 0.250 0.750 0.500
Al5 0.301 0.000 0.301
Al6 0.301 0.301 0.000
Al7 0.500 0.250 0.750
Al8 0.500 0.750 0.250
Al9 0.699 0.000 0.699
Al10 0.699 0.699 0.000
Al11 0.750 0.250 0.500
Al12 0.750 0.500 0.250

=====

Compound: Li2Sm3Al
Source: Alexandria
Functional: GGA-PBE
Structure: relaxed

Properties
Energy of formation = -0.08 eV/atom

Cell lengths 5.274, 5.274, 12.946 Å; angles 90.00, 90.00, 120.00 degrees
Fractional positions:
Li1 0.000 0.000 0.000
Li2 0.000 0.000 0.500
Li3 0.333 0.667 0.171
Li4 0.667 0.333 0.829
Sm1 0.000 0.000 0.254
Sm2 0.000 0.000 0.746
Sm3 0.333 0.667 0.418
Sm4 0.333 0.667 0.913
Sm5 0.667 0.333 0.087
Sm6 0.667 0.333 0.582
Al1 0.333 0.667 0.667
Al2 0.667 0.333 0.333

=====

Compound: LiSm2Al
Source: Alexandria
Functional: GGA-PBE
Structure: relaxed

Properties
Energy of formation = -0.17 eV/atom

Cell lengths 5.206, 5.206, 3.785 Å; angles 90.00, 90.00, 90.00 degrees
Fractional positions:
Li1 0.000 0.000 0.000
Sm1 0.000 0.500 0.500
Sm2 0.500 0.000 0.500
Al1 0.500 0.500 0.000

=====

Compound: LiSm5Al3
Source: Alexandria
Functional: GGA-PBE
Structure: relaxed

Properties
Energy of formation = -0.22 eV/atom

Cell lengths 9.197, 9.197, 6.631 Å; angles 90.00, 90.00, 120.00 degrees
Fractional positions:
Li1 0.000 0.000 0.000
Li2 0.000 0.000 0.500
Sm1 0.000 0.310 0.250
Sm2 0.000 0.690 0.750
Sm3 0.310 0.000 0.250
Sm4 0.310 0.310 0.750
Sm5 0.333 0.667 0.000
Sm6 0.333 0.667 0.500
Sm7 0.667 0.333 0.000
Sm8 0.667 0.333 0.500
Sm9 0.690 0.000 0.750
Sm10 0.690 0.690 0.250
Al1 0.000 0.350 0.750
Al2 0.000 0.650 0.250
Al3 0.350 0.000 0.750
Al4 0.350 0.350 0.250
Al5 0.650 0.000 0.250
Al6 0.650 0.650 0.750

=====

The records above yield raw total energy values of -72.5; -44.4; -15.8; -77.4 eV for the cell shown, respectively.
The records above yield spin magnetization values of 0.000; 0.000; 0.000; 0.000 μB per atom, respectively.